(1)
The following is a DFT calculation (GGA-PBE) of a geometry-optimized Ag3HgPt structure.

a b c (Å): 5.1490 5.1490 5.1490
angles (deg): 90.00 90.00 90.00
With the nearest neighbours (Å) after each atom.
Element x y z (fractional)
1 Ag 0.0000 0.0000 0.5000  2 Pt 2.57
2 Ag 0.0000 0.5000 0.0000  2 Pt 2.57
3 Ag 0.5000 0.0000 0.0000  2 Pt 2.57
4 Hg 0.5000 0.5000 0.5000  12 Ag 3.64
5 Pt 0.0000 0.0000 0.0000  6 Ag 2.57

Energy above the most stable polymorph in this dataset: 0.503 eV per atom
Formation energy from the elements: 0.645 eV per atom

***

(2)
The following is a DFT calculation (GGA-PBE) of a geometry-optimized Rb2TlPt structure.

a b c (Å): 12.4674 12.4674 5.2906
angles (deg): 90.00 90.00 90.00
With the nearest neighbours (Å) after each atom.
Element x y z (fractional)
1 Rb 0.0805 0.2500 0.1250  2 Pt 3.34
2 Rb 0.2500 0.5805 0.3750  2 Pt 3.34
3 Rb 0.2500 0.9195 0.8750  2 Pt 3.34
4 Rb 0.4195 0.2500 0.6250  2 Pt 3.34
5 Rb 0.5805 0.7500 0.6250  2 Pt 3.34
6 Rb 0.7500 0.0805 0.8750  2 Pt 3.34
7 Rb 0.7500 0.4195 0.3750  2 Pt 3.34
8 Rb 0.9195 0.7500 0.1250  2 Pt 3.34
9 Tl 0.0000 0.0000 0.5000  2 Pt 2.65
10 Tl 0.0000 0.5000 0.7500  2 Pt 2.65
11 Tl 0.5000 0.0000 0.2500  2 Pt 2.65
12 Tl 0.5000 0.5000 0.0000  2 Pt 2.65
13 Pt 0.0000 0.0000 0.0000  2 Tl 2.65
14 Pt 0.0000 0.5000 0.2500  2 Tl 2.65
15 Pt 0.5000 0.0000 0.7500  2 Tl 2.65
16 Pt 0.5000 0.5000 0.5000  2 Tl 2.65

Energy above the most stable polymorph in this dataset: 0.060 eV per atom
Formation energy from the elements: -0.058 eV per atom

***

(3)
The following is a DFT calculation (GGA-PBE) of a geometry-optimized Nb2Ga3Mo structure.

a b c (Å): 4.8235 14.4471 2.8025
angles (deg): 90.00 90.00 90.00
With the nearest neighbours (Å) after each atom.
Element x y z (fractional)
1 Nb 0.0000 0.1695 0.0000  8 Ga 2.79-2.82, 2 Nb 2.80
2 Nb 0.0000 0.8305 0.0000  8 Ga 2.79-2.82, 2 Nb 2.80
3 Nb 0.5000 0.3305 0.0000  8 Ga 2.79-2.82, 2 Nb 2.80
4 Nb 0.5000 0.6695 0.0000  8 Ga 2.79-2.82, 2 Nb 2.80
5 Ga 0.0000 0.0000 0.5000  4 Mo 2.79, 2 Ga 2.80, 4 Nb 2.82
6 Ga 0.0000 0.3388 0.5000  2 Mo 2.72, 6 Nb 2.79-2.82, 2 Ga 2.80
7 Ga 0.0000 0.6612 0.5000  2 Mo 2.72, 6 Nb 2.79-2.82, 2 Ga 2.80
8 Ga 0.5000 0.1612 0.5000  2 Mo 2.72, 6 Nb 2.79-2.82, 2 Ga 2.80
9 Ga 0.5000 0.5000 0.5000  4 Mo 2.79, 2 Ga 2.80, 4 Nb 2.82
10 Ga 0.5000 0.8388 0.5000  2 Mo 2.72, 6 Nb 2.79-2.82, 2 Ga 2.80
11 Mo 0.0000 0.5000 0.0000  8 Ga 2.72-2.79, 2 Mo 2.80
12 Mo 0.5000 0.0000 0.0000  8 Ga 2.72-2.79, 2 Mo 2.80

Formation energy from the elements: -0.057 eV per atom

***

(4)
The following is a DFT calculation (GGA-PBE) of a geometry-optimized LaMnW2I structure.

a b c (Å): 4.9153 4.9153 5.7140
angles (deg): 90.00 90.00 90.00
With the nearest neighbours (Å) after each atom.
Element x y z (fractional)
1 La 0.0000 0.0000 0.0000  2 I 2.86
2 Mn 0.5000 0.5000 0.0000  4 La 3.48, 8 W 3.77
3 W 0.0000 0.5000 0.5000  2 I 2.46
4 W 0.5000 0.0000 0.5000  2 I 2.46
5 I 0.0000 0.0000 0.5000  4 W 2.46

Formation energy from raw total energies: 2.59 eV per atom

***

(5)
The following is a DFT calculation (GGA-PBE) of a geometry-optimized PuMgGeBi structure.

a b c (Å): 7.3472 7.3472 7.3472
angles (deg): 90.00 90.00 90.00
With the nearest neighbours (Å) after each atom.
Element x y z (fractional)
1 Pu 0.0000 0.0000 0.0000  4 Ge 3.18, 4 Bi 3.18
2 Pu 0.0000 0.5000 0.5000  4 Ge 3.18, 4 Bi 3.18
3 Pu 0.5000 0.0000 0.5000  4 Ge 3.18, 4 Bi 3.18
4 Pu 0.5000 0.5000 0.0000  4 Ge 3.18, 4 Bi 3.18
5 Mg 0.0000 0.0000 0.5000  4 Ge 3.18, 4 Bi 3.18
6 Mg 0.0000 0.5000 0.0000  4 Ge 3.18, 4 Bi 3.18
7 Mg 0.5000 0.0000 0.0000  4 Ge 3.18, 4 Bi 3.18
8 Mg 0.5000 0.5000 0.5000  4 Ge 3.18, 4 Bi 3.18
9 Ge 0.2500 0.2500 0.7500  4 Mg 3.18, 4 Pu 3.18
10 Ge 0.2500 0.7500 0.2500  4 Mg 3.18, 4 Pu 3.18
11 Ge 0.7500 0.2500 0.2500  4 Mg 3.18, 4 Pu 3.18
12 Ge 0.7500 0.7500 0.7500  4 Mg 3.18, 4 Pu 3.18
13 Bi 0.2500 0.2500 0.2500  4 Mg 3.18, 4 Pu 3.18
14 Bi 0.2500 0.7500 0.7500  4 Mg 3.18, 4 Pu 3.18
15 Bi 0.7500 0.2500 0.7500  4 Mg 3.18, 4 Pu 3.18
16 Bi 0.7500 0.7500 0.2500  4 Mg 3.18, 4 Pu 3.18

Formation energy from the elements: -0.136 eV per atom

***

(6)
The following is a DFT calculation (GGA-PBE) of a geometry-optimized Mn2Be structure.

a b c (Å): 8.3960 2.7606 5.4049
angles (deg): 90.00 109.22 90.00
With the nearest neighbours (Å) after each atom.
Element x y z (fractional)
1 Mn 0.0000 0.0000 0.0000  4 Mn 2.32, 4 Be 2.33
2 Mn 0.0000 0.0000 0.5000  4 Mn 2.35, 4 Be 2.36
3 Mn 0.1654 0.5000 0.3291  6 Mn 2.32-2.37, 2 Be 2.36
4 Mn 0.3346 0.0000 0.6709  6 Mn 2.32-2.37, 2 Be 2.36
5 Mn 0.5000 0.5000 0.0000  4 Mn 2.32, 4 Be 2.33
6 Mn 0.5000 0.5000 0.5000  4 Mn 2.35, 4 Be 2.36
7 Mn 0.6654 0.0000 0.3291  6 Mn 2.32-2.37, 2 Be 2.36
8 Mn 0.8346 0.5000 0.6709  6 Mn 2.32-2.37, 2 Be 2.36
9 Be 0.1681 0.5000 0.8418  2 Be 2.27, 6 Mn 2.33-2.36
10 Be 0.3319 0.0000 0.1582  2 Be 2.27, 6 Mn 2.33-2.36
11 Be 0.6681 0.0000 0.8418  2 Be 2.27, 6 Mn 2.33-2.36
12 Be 0.8319 0.5000 0.1582  2 Be 2.27, 6 Mn 2.33-2.36

Formation energy from the elements: -0.025 eV per atom

***

(7)
The following is a DFT calculation (GGA-PBE) of a geometry-optimized PRuCl structure.

a b c (Å): 5.9516 5.9516 5.9516
angles (deg): 90.00 90.00 90.00
With the nearest neighbours (Å) after each atom.
Element x y z (fractional)
1 P 0.0000 0.0000 0.0000  4 Cl 2.58, 4 Ru 2.58
2 P 0.0000 0.5000 0.5000  4 Cl 2.58, 4 Ru 2.58
3 P 0.5000 0.0000 0.5000  4 Cl 2.58, 4 Ru 2.58
4 P 0.5000 0.5000 0.0000  4 Cl 2.58, 4 Ru 2.58
5 Ru 0.2500 0.2500 0.2500  4 P 2.58
6 Ru 0.2500 0.7500 0.7500  4 P 2.58
7 Ru 0.7500 0.2500 0.7500  4 P 2.58
8 Ru 0.7500 0.7500 0.2500  4 P 2.58
9 Cl 0.2500 0.2500 0.7500  4 P 2.58
10 Cl 0.2500 0.7500 0.2500  4 P 2.58
11 Cl 0.7500 0.2500 0.2500  4 P 2.58
12 Cl 0.7500 0.7500 0.7500  4 P 2.58

Formation energy from raw total energies: 0.92 eV per atom
Energy above the most stable polymorph in this dataset: 1.228 eV per atom

***

(8)
The following is a DFT calculation (GGA-PBE) of a geometry-optimized KSrLa4 structure.

a b c (Å): 7.2515 7.2515 7.2515
angles (deg): 60.00 60.00 60.00
With the nearest neighbours (Å) after each atom.
Element x y z (fractional)
1 K 0.0000 0.0000 0.0000  12 La 4.27, 4 Sr 4.44
2 Sr 0.2500 0.2500 0.2500  12 La 4.24, 4 K 4.44
3 La 0.1417 0.6194 0.6194  6 La 3.46-3.79
4 La 0.6194 0.1417 0.6194  6 La 3.46-3.79
5 La 0.6194 0.6194 0.1417  6 La 3.46-3.79
6 La 0.6194 0.6194 0.6194  6 La 3.46-3.79

Formation energy from the elements: 0.338 eV per atom

***

(9)
The following is a DFT calculation (GGA-PBE) of a geometry-optimized SrLaHo4S8 structure.

a b c (Å): 8.2808 8.2808 8.2808
angles (deg): 58.87 58.87 58.87
With the nearest neighbours (Å) after each atom.
Element x y z (fractional)
1 Sr 0.0000 0.0000 0.0000  4 S 2.79-2.82
2 La 0.3718 0.3718 0.3718  6 S 2.83-2.94
3 Ho 0.3715 0.3715 0.8783  6 S 2.69-2.83
4 Ho 0.3715 0.8783 0.3715  6 S 2.69-2.83
5 Ho 0.7476 0.7476 0.7476  4 S 2.63-2.70
6 Ho 0.8783 0.3715 0.3715  6 S 2.69-2.83
7 S 0.1294 0.1294 0.5825  2 Ho 2.69, 1 Sr 2.79, 1 La 2.83
8 S 0.1294 0.5825 0.1294  2 Ho 2.69, 1 Sr 2.79, 1 La 2.83
9 S 0.1378 0.1378 0.1378  3 Ho 2.72, 1 Sr 2.82
10 S 0.1410 0.6241 0.6241  3 Ho 2.63-2.81, 1 La 2.94
11 S 0.5825 0.1294 0.1294  2 Ho 2.69, 1 Sr 2.79, 1 La 2.83
12 S 0.6155 0.6155 0.6155  4 Ho 2.70-2.83
13 S 0.6241 0.1410 0.6241  3 Ho 2.63-2.81, 1 La 2.94
14 S 0.6241 0.6241 0.1410  3 Ho 2.63-2.81, 1 La 2.94

Formation energy from raw total energies: -2.00 eV per atom

***

(10)
The following is a DFT calculation (GGA-PBE) of a geometry-optimized Ce2SnGe3Ir4 structure.

a b c (Å): 4.2552 4.2552 10.5919
angles (deg): 90.00 90.00 90.00
With the nearest neighbours (Å) after each atom.
Element x y z (fractional)
1 Ce 0.0000 0.5000 0.2452  8 Ir 3.23-3.36, 6 Ge 3.26-3.44, 2 Sn 3.44
2 Ce 0.5000 0.0000 0.7548  8 Ir 3.23-3.36, 6 Ge 3.26-3.44, 2 Sn 3.44
3 Sn 0.0000 0.0000 0.5000  4 Ir 2.62
4 Ge 0.0000 0.5000 0.8735  5 Ir 2.42-2.51
5 Ge 0.5000 0.0000 0.1265  5 Ir 2.42-2.51
6 Ge 0.5000 0.5000 0.5000  4 Ir 2.62
7 Ir 0.0000 0.0000 0.0000  4 Ge 2.51
8 Ir 0.0000 0.5000 0.6446  3 Ge 2.42-2.62, 2 Sn 2.62
9 Ir 0.5000 0.0000 0.3554  3 Ge 2.42-2.62, 2 Sn 2.62
10 Ir 0.5000 0.5000 0.0000  4 Ge 2.51

Formation energy from the elements: -0.707 eV per atom

***

(11)
The following is a DFT calculation (GGA-PBE) of a geometry-optimized Sr8Li2Mg structure.

a b c (Å): 10.7360 10.7360 8.5634
angles (deg): 109.48 109.48 32.92
With the nearest neighbours (Å) after each atom.
Element x y z (fractional)
1 Sr 0.0278 0.0278 0.2821  1 Li 3.49, 2 Mg 3.72
2 Sr 0.1915 0.1915 0.7911  1 Li 3.51
3 Sr 0.3316 0.3316 0.5427  3 Li 3.50-3.86, 1 Mg 3.61
4 Sr 0.4061 0.4061 0.0484  1 Mg 3.67, 2 Li 3.76, 3 Sr 4.01-4.06
5 Sr 0.5939 0.5939 0.9516  1 Mg 3.67, 2 Li 3.76, 3 Sr 4.01-4.06
6 Sr 0.6684 0.6684 0.4573  3 Li 3.50-3.86, 1 Mg 3.61
7 Sr 0.8085 0.8085 0.2089  1 Li 3.51
8 Sr 0.9722 0.9722 0.7179  1 Li 3.49, 2 Mg 3.72
9 Li 0.1806 0.1806 0.1914  7 Sr 3.49-3.86
10 Li 0.8194 0.8194 0.8086  7 Sr 3.49-3.86
11 Mg 0.5000 0.5000 0.5000  8 Sr 3.61-3.72

Energy above the most stable polymorph in this dataset: 0.000 eV per atom
Formation energy from the elements: 0.034 eV per atom

***

(12)
The following is a DFT calculation (GGA-PBE) of a geometry-optimized ZrTe2Rh structure.

a b c (Å): 6.3869 8.9825 3.4726
angles (deg): 90.00 116.73 90.00
With the nearest neighbours (Å) after each atom.
Element x y z (fractional)
1 Zr 0.0000 0.0000 0.0000  4 Te 2.85
2 Zr 0.5000 0.5000 0.0000  4 Te 2.85
3 Te 0.2500 0.2500 0.5000  2 Zr 2.85, 2 Rh 2.85
4 Te 0.2500 0.7500 0.5000  2 Zr 2.85, 2 Rh 2.85
5 Te 0.7500 0.2500 0.5000  2 Zr 2.85, 2 Rh 2.85
6 Te 0.7500 0.7500 0.5000  2 Zr 2.85, 2 Rh 2.85
7 Rh 0.0000 0.5000 0.0000  4 Te 2.85
8 Rh 0.5000 0.0000 0.0000  4 Te 2.85

Formation energy from raw total energies: -0.09 eV per atom
Energy above the most stable polymorph in this dataset: 0.634 eV per atom